Version a
AgAsC3 | GGA-PBE | optimized geometry

Density (g cm⁻³): 5.02
DOS at the Fermi energy (states/eV/atom): 0.690

Lattice parameters (Å, degrees): 4.169 4.169 4.169 90.00 90.00 90.00
Space group Pm-3m (No. 221)
One atom of each set of equivalent atoms:
Ag 0.000 0.000 0.000 (multiplicity 1)
As 0.500 0.500 0.500 (multiplicity 1)
C 0.000 0.000 0.500 (multiplicity 3)

***

Version b
AgAsC3 | GGA-PBE | optimized geometry

Density (g cm⁻³): 5.84
DOS at the Fermi energy (states/eV/atom): 0.218

Lattice parameters (Å, degrees): 3.964 3.964 3.964 90.00 90.00 90.00
Space group Pm-3m (No. 221)
One atom of each set of equivalent atoms:
Ag 0.000 0.000 0.000 (multiplicity 1)
As 0.500 0.500 0.500 (multiplicity 1)
C 0.000 0.500 0.500 (multiplicity 3)

***

Energies in eV/atom, measured from the most stable structure: version a 0.637; version b 0.000.